# 1
The following is a GGA-PBE calculation of crystalline LaPm8Ir6 at its relaxed geometry, from Alexandria via LeMat-Bulk.

Cell and atoms, written as extended XYZ:
```
15
Lattice="4.2434 2.4500 6.2076 -4.2434 2.4500 6.2076 0.0000 -4.8999 6.2076" Properties=species:S:1:pos:R:3 pbc="T T T"
La 0.0000 0.0000 0.0000
Pm -2.8303 -0.0490 8.2992
Pm -1.3727 -2.4756 10.3237
Pm 0.0000 0.0000 6.2403
Pm 1.4575 -2.4266 8.2992
Pm -1.4575 2.4266 10.3237
Pm 0.0000 0.0000 12.3826
Pm 1.3727 2.4756 8.2992
Pm 2.8303 0.0490 10.3237
Ir -1.4062 -2.4503 7.2888
Ir -2.8251 -0.0073 11.3341
Ir -1.4189 2.4429 7.2888
Ir 1.4189 -2.4429 11.3341
Ir 2.8251 0.0073 7.2888
Ir 1.4062 2.4503 11.3341
```

Properties
For the formation energy, the calculation gives -9.4 eV per formula unit. As for the symmetry: R-3 (148).

=====

# 2
The following is a GGA-PBE calculation of crystalline BaScTa2 at its relaxed geometry, from Alexandria via LeMat-Bulk.

Cell and atoms, written as extended XYZ:
```
4
Lattice="3.0592 0.0000 0.0000 0.0000 3.0592 0.0000 0.0000 0.0000 10.4563" Properties=species:S:1:pos:R:3 pbc="T T T"
Ba 0.0000 0.0000 0.0000
Sc 0.0000 0.0000 5.2281
Ta 1.5296 1.5296 3.0957
Ta 1.5296 1.5296 7.3606
```

Properties
For the formation energy, the calculation gives 3.0 eV per formula unit. Its energy above the lowest structure with this stoichiometry is 310 meV/atom. As for the symmetry: P4/mmm (123).

=====

# 3
The following is a GGA-PBE calculation of crystalline Pr2Ni3Ge at its relaxed geometry, from Alexandria via LeMat-Bulk.

Cell and atoms, written as extended XYZ:
```
6
Lattice="4.0162 0.0000 0.0000 0.0000 4.0993 0.0000 0.0000 0.0000 7.1988" Properties=species:S:1:pos:R:3 pbc="T T T"
Pr 0.0000 0.0000 0.0000
Pr 0.0000 2.0497 3.4647
Ni 2.0081 0.0000 2.3206
Ni 2.0081 0.0000 4.6919
Ni 2.0081 2.0497 1.0948
Ge 2.0081 2.0497 5.8926
```

Properties
For the formation energy, the calculation gives -2.8 eV per formula unit. As for the symmetry: Pmm2 (25).

=====

# 4
The following is a GGA-PBE calculation of crystalline GaHg2Ge at its relaxed geometry, from Alexandria via LeMat-Bulk.

Cell and atoms, written as extended XYZ:
```
4
Lattice="3.5460 0.0000 0.0000 0.0000 3.5460 0.0000 0.0000 0.0000 7.0910" Properties=species:S:1:pos:R:3 pbc="T T T"
Ga 0.0000 0.0000 0.0000
Hg 1.7730 1.7730 1.7478
Hg 1.7730 1.7730 5.3432
Ge 0.0000 0.0000 3.5455
```

Properties
For the formation energy, the calculation gives 0.8 eV per formula unit. As for the symmetry: P4/mmm (123).